Here is a relaxed structure of BaCrTc2O8 from Alexandria via LeMat-Bulk. Energies are from PBE+U.

abc: 5.482 5.482 7.477
angles: 90.00 90.00 120.00
Last column: magnetic moment on the atom in μB.
Fractional positions:
O1 0.333 0.667 0.968  0.11
O2 0.257 0.943 0.671  0.04
O3 0.943 0.686 0.329  0.04
O4 0.057 0.314 0.671  0.04
O5 0.667 0.333 0.032  0.11
O6 0.314 0.257 0.329  0.04
O7 0.743 0.057 0.329  0.04
O8 0.686 0.743 0.671  0.04
Ba1 0.000 0.000 0.000  0.01
Tc1 0.333 0.667 0.730  0.93
Tc2 0.667 0.333 0.270  0.93
Cr1 0.000 0.000 0.500  3.29

Results
- Fermi-level density of states (states/eV/cell) = 7.67
- raw total energy (eV per atom) = -7.52